[1]
This record from Alexandria describes a geometry-optimized PuAg3Cl7 structure. The functional is GGA-PBE.

Lattice parameters (Å, degrees): 13.1726 7.6933 8.8151 90.00 130.12 90.00
Space group Cm (No. 8)
One atom of each set of equivalent atoms:
Pu1 0.0000 0.0000 0.0000 [2 per cell]
Ag1 0.4376 0.2628 0.4324 [4 per cell]
Ag2 0.4902 0.0000 0.0872 [2 per cell]
Cl1 0.0445 0.0000 0.3351 [2 per cell]
Cl2 0.0456 0.5000 0.4286 [2 per cell]
Cl3 0.1778 0.2496 0.1407 [4 per cell]
Cl4 0.3255 0.2562 0.8622 [4 per cell]
Cl5 0.4527 0.5000 0.6529 [2 per cell]

=====

[2]
This record from Alexandria describes a geometry-optimized PuAg2Cl5 structure. The functional is GGA-PBE.

Lattice parameters (Å, degrees): 5.2582 13.4058 13.9147 90.00 90.00 90.00
Space group Cmcm (No. 63)
One atom of each set of equivalent atoms:
Pu1 0.0000 0.1856 0.2500 [4 per cell]
Ag1 0.0000 0.1467 0.5409 [8 per cell]
Cl1 0.0000 0.0375 0.1224 [8 per cell]
Cl2 0.0000 0.2619 0.7500 [4 per cell]
Cl3 0.0000 0.3094 0.0874 [8 per cell]

=====

[3]
This record from Alexandria describes a geometry-optimized PuAg3Cl8 structure. The functional is GGA-PBE.

Lattice parameters (Å, degrees): 13.3593 8.0372 7.6979 90.00 122.07 90.00
Space group C2/m (No. 12)
One atom of each set of equivalent atoms:
Pu1 0.0000 0.0000 0.0000 [2 per cell]
Ag1 0.0000 0.5000 0.0000 [2 per cell]
Ag2 0.2500 0.2500 0.5000 [4 per cell]
Cl1 0.0059 0.2252 0.7659 [8 per cell]
Cl2 0.2217 0.5000 0.2737 [4 per cell]
Cl3 0.2284 0.0000 0.2143 [4 per cell]

=====

[4]
This record from Alexandria describes a geometry-optimized PuAgCl4 structure. The functional is GGA-PBE.

Lattice parameters (Å, degrees): 14.3406 4.1111 7.1304 90.00 117.96 90.00
Space group C2/m (No. 12)
One atom of each set of equivalent atoms:
Pu1 0.0000 0.0000 0.0000 [2 per cell]
Ag1 0.0000 0.5000 0.5000 [2 per cell]
Cl1 0.1042 0.0000 0.4276 [4 per cell]
Cl2 0.1244 0.5000 0.9896 [4 per cell]

=====

[5]
This record from Alexandria describes a geometry-optimized PuAg2Cl6 structure. The functional is GGA-PBE.

Results
energy above the most stable polymorph in this dataset: 0 meV/atom

Lattice parameters (Å, degrees): 6.7284 6.8578 13.3717 90.00 118.02 90.00
Space group P2_1/c (No. 14)
One atom of each set of equivalent atoms:
Pu1 0.0000 0.0000 0.0000 [2 per cell]
Ag1 0.4163 0.1505 0.8416 [4 per cell]
Cl1 0.0349 0.1630 0.8327 [4 per cell]
Cl2 0.2315 0.7010 0.9943 [4 per cell]
Cl3 0.3728 0.1792 0.1506 [4 per cell]

=====

[6]
This record from Alexandria describes a geometry-optimized PuAg6Cl12 structure. The functional is GGA-PBE.

Lattice parameters (Å, degrees): 10.9342 10.9342 17.2298 90.00 90.00 120.00
Space group R-3 (No. 148, hexagonal axes)
One atom of each set of equivalent atoms:
Pu1 0.0000 0.0000 0.0000 [3 per cell]
Ag1 0.0332 0.7738 0.6612 [18 per cell]
Cl1 0.0192 0.8146 0.3850 [18 per cell]
Cl2 0.0744 0.8551 0.9115 [18 per cell]

=====

[7]
This record from Alexandria describes a geometry-optimized Rb2PuAgCl6 structure. The functional is GGA-PBE.

Lattice parameters (Å, degrees): 7.6805 10.8643 7.6841 90.00 90.00 90.00
Space group Pmmn (No. 59, origin choice 2)
One atom of each set of equivalent atoms:
Rb1 0.2500 0.0006 0.2505 [4 per cell]
Pu1 0.2500 0.2500 0.7474 [2 per cell]
Ag1 0.2500 0.7500 0.7528 [2 per cell]
Cl1 0.0008 0.2500 0.9951 [4 per cell]
Cl2 0.0027 0.2500 0.4982 [4 per cell]
Cl3 0.2500 0.0017 0.7479 [4 per cell]

=====

[8]
This record from Alexandria describes a geometry-optimized Rb3PuAg2Cl9 structure. The functional is GGA-PBE.

Lattice parameters (Å, degrees): 7.5557 7.5557 9.4223 90.00 90.00 120.00
Space group P-3m1 (No. 164)
One atom of each set of equivalent atoms:
Rb1 0.0000 0.0000 0.0000 [1 per cell]
Rb2 0.3333 0.6667 0.7271 [2 per cell]
Pu1 0.0000 0.0000 0.5000 [1 per cell]
Ag1 0.3333 0.6667 0.1561 [2 per cell]
Cl1 0.0000 0.5000 0.0000 [3 per cell]
Cl2 0.1631 0.3261 0.3374 [6 per cell]

=====

[9]
This record from Alexandria describes a geometry-optimized RbPu2AgCl8 structure. The functional is GGA-PBE.

Lattice parameters (Å, degrees): 6.7654 8.5721 6.8637 90.00 95.80 90.00
Space group P2/m (No. 10)
One atom of each set of equivalent atoms:
Rb1 0.0000 0.0000 0.0000 [1 per cell]
Pu1 0.5000 0.2583 0.5000 [2 per cell]
Ag1 0.0000 0.5000 0.0000 [1 per cell]
Cl1 0.2525 0.2840 0.1723 [4 per cell]
Cl2 0.2881 0.5000 0.6409 [2 per cell]
Cl3 0.2941 0.0000 0.6266 [2 per cell]

=====

[10]
This record from Alexandria describes a geometry-optimized Rb2PuAg2Cl6 structure. The functional is GGA-PBE.

Lattice parameters (Å, degrees): 13.1244 7.9051 8.3015 90.00 119.45 90.00
Space group C2/m (No. 12)
One atom of each set of equivalent atoms:
Rb1 0.2202 0.0000 0.1694 [4 per cell]
Pu1 0.0000 0.0000 0.5000 [2 per cell]
Ag1 0.0514 0.5000 0.1914 [4 per cell]
Cl1 0.0647 0.2344 0.7837 [8 per cell]
Cl2 0.2286 0.0000 0.5706 [4 per cell]

=====

[11]
This record from Alexandria describes a geometry-optimized PuAgSeCl structure. The functional is GGA-PBE.

Lattice parameters (Å, degrees): 4.2171 4.2171 41.4789 90.00 90.00 120.00
Space group R-3m (No. 166, hexagonal axes)
One atom of each set of equivalent atoms:
Pu1 0.0000 0.0000 0.0928 [6 per cell]
Ag1 0.0000 0.0000 0.3131 [6 per cell]
Se1 0.0000 0.0000 0.3869 [6 per cell]
Cl1 0.0000 0.0000 0.2047 [6 per cell]

=====

[12]
This record from Alexandria describes a geometry-optimized PuAg2SnCl8 structure. The functional is GGA-PBE.

Lattice parameters (Å, degrees): 6.4052 6.5573 8.3476 90.72 90.77 94.39
Space group P-1 (No. 2)
One atom of each set of equivalent atoms:
Pu1 0.0000 0.0000 0.0000 [1 per cell]
Ag1 0.4943 0.4962 0.2551 [2 per cell]
Sn1 0.0000 0.0000 0.5000 [1 per cell]
Cl1 0.2024 0.8281 0.7665 [2 per cell]
Cl2 0.2043 0.8299 0.2342 [2 per cell]
Cl3 0.2859 0.3140 0.0024 [2 per cell]
Cl4 0.2920 0.3243 0.5045 [2 per cell]

=====

no.,formation energy without anion corrections (eV/atom),DOS at the Fermi energy (states/eV/f.u.)
1,-0.9829,8.24
2,-1.1282,9.89
3,-0.9320,11.35
4,-1.3957,9.37
5,-1.1299,4.69
6,-0.7281,15.74
7,-1.6469,12.06
8,-1.4820,9.67
9,-1.6535,20.66
10,-1.3607,11.89
11,-1.0328,9.87
12,-1.0862,5.90